First-principles (GGA-PBEsol) data for an optimized crystal structure of FeRe2Ni, as listed in the Alexandria database.

The total energy is -10.39 eV per atom. The crystal system is tetragonal. Its energy above the most stable polymorph in this dataset is 0.032 eV/atom. The calculation puts the spin magnetization at 1.077 μB per cell. As for the formation energy: 0.054 eV per atom.

The structure belongs to space group P4/mmm (No. 123); the cell edges are 3.679, 3.679 and 3.684 Å and the angles 90.00°, 90.00° and 90.00°. The distinct sites, in fractional coordinates, are Fe at (0.000, 0.000, 0.000), Re at (0.000, 0.500, 0.500) and Ni at (0.500, 0.500, 0.000).